# Ge3Te3Ir2

A relaxed structure of Ge3Te3Ir2 (PBE, Alexandria).

Properties
total energy = -168.67 eV per cell
energy above the most stable polymorph in this dataset = 223 meV/atom
E_form (uncorrected) = -146 meV per atom

Lattice parameters (Å, degrees): 12.8946 9.0490 9.0566 90.00 134.12 90.00
Space group C2/m (No. 12)
One atom of each set of equivalent atoms:
Ge  0.1479  0.1425  0.1476 (multiplicity 8)
Ge  0.1607  0.5000  0.9851 (multiplicity 4)
Te  0.0018  0.1743  0.6616 (multiplicity 8)
Te  0.1429  0.5000  0.2877 (multiplicity 4)
Ir  0.2500  0.2500  0.0000 (multiplicity 4)
Ir  0.2500  0.2500  0.5000 (multiplicity 4)


# Ge3TeIr

A relaxed structure of Ge3TeIr (PBE, Alexandria).

Properties
total energy = -25.49 eV per cell
energy above the most stable polymorph in this dataset = 0 meV/atom
E_form (uncorrected) = 72 meV per atom

Lattice parameters (Å, degrees): 4.8631 4.8631 4.8631 90.00 90.00 90.00
Space group Pm-3m (No. 221)
One atom of each set of equivalent atoms:
Ge  0.0000  0.0000  0.5000 (multiplicity 3)
Te  0.5000  0.5000  0.5000 (multiplicity 1)
Ir  0.0000  0.0000  0.0000 (multiplicity 1)


# GeTe3Ir

A relaxed structure of GeTe3Ir (PBE, Alexandria).

Properties
total energy = -20.02 eV per cell
energy above the most stable polymorph in this dataset = 0 meV/atom
E_form (uncorrected) = 577 meV per atom

Lattice parameters (Å, degrees): 5.2588 5.2588 5.2588 90.00 90.00 90.00
Space group Pm-3m (No. 221)
One atom of each set of equivalent atoms:
Ge  0.0000  0.0000  0.0000 (multiplicity 1)
Te  0.0000  0.5000  0.5000 (multiplicity 3)
Ir  0.5000  0.5000  0.5000 (multiplicity 1)


# Ge2TeIr

A relaxed structure of Ge2TeIr (PBE, Alexandria).

Properties
total energy = -63.05 eV per cell
E_form (uncorrected) = 55 meV per atom

Lattice parameters (Å, degrees): 3.6601 3.6601 24.5481 90.00 90.00 120.00
Space group R-3m (No. 166, hexagonal axes)
One atom of each set of equivalent atoms:
Ge  0.0000  0.0000  0.1131 (multiplicity 6)
Te  0.0000  0.0000  0.0000 (multiplicity 3)
Ir  0.0000  0.0000  0.5000 (multiplicity 3)


# Th6GeTe3Ir2

A relaxed structure of Th6GeTe3Ir2 (PBE, Alexandria).

Properties
total energy = -178.11 eV per cell
E_form (uncorrected) = -1064 meV per atom

Lattice parameters (Å, degrees): 7.4522 12.8958 7.8731 90.00 108.37 90.00
Space group C2/m (No. 12)
One atom of each set of equivalent atoms:
Th  0.2199  0.0000  0.2058 (multiplicity 4)
Th  0.2450  0.3258  0.2085 (multiplicity 8)
Ge  0.0000  0.5000  0.0000 (multiplicity 2)
Te  0.0000  0.0000  0.5000 (multiplicity 2)
Te  0.0000  0.3410  0.5000 (multiplicity 4)
Ir  0.0000  0.1678  0.0000 (multiplicity 4)


# Th8GeTe4Ir3

A relaxed structure of Th8GeTe4Ir3 (PBE, Alexandria).

Properties
total energy = -360.49 eV per cell
E_form (uncorrected) = -1065 meV per atom

Lattice parameters (Å, degrees): 8.5385 8.5385 22.6437 90.00 90.00 120.00
Space group R-3m (No. 166, hexagonal axes)
One atom of each set of equivalent atoms:
Th  0.0000  0.0000  0.2337 (multiplicity 6)
Th  0.0102  0.5051  0.7639 (multiplicity 18)
Ge  0.0000  0.0000  0.5000 (multiplicity 3)
Te  0.0000  0.0000  0.0000 (multiplicity 3)
Te  0.0000  0.5000  0.0000 (multiplicity 9)
Ir  0.0000  0.5000  0.5000 (multiplicity 9)


# Tm8Ge3Te4Ir

A relaxed structure of Tm8Ge3Te4Ir (PBE, Alexandria).

Properties
total energy = -265.61 eV per cell
E_form (uncorrected) = -1093 meV per atom

Lattice parameters (Å, degrees): 8.3385 8.3385 21.1308 90.00 90.00 120.00
Space group R-3m (No. 166, hexagonal axes)
One atom of each set of equivalent atoms:
Tm  0.0000  0.0000  0.2397 (multiplicity 6)
Tm  0.0052  0.5026  0.2374 (multiplicity 18)
Ge  0.0000  0.5000  0.5000 (multiplicity 9)
Te  0.0000  0.0000  0.0000 (multiplicity 3)
Te  0.0000  0.5000  0.0000 (multiplicity 9)
Ir  0.0000  0.0000  0.5000 (multiplicity 3)


# ThGe2Ir4

A relaxed structure of ThGe2Ir4 (PBE, Alexandria).

Properties
total energy = -111.72 eV per cell
energy above the most stable polymorph in this dataset = 0 meV/atom
energy of formation = -0.54 eV/atom

Lattice parameters (Å, degrees): 7.7936 7.7936 3.9655 90.00 90.00 90.00
Space group P4_2/mnm (No. 136)
One atom of each set of equivalent atoms:
Th  0.0000  0.0000  0.0000 (multiplicity 2)
Ge  0.2258  0.2258  0.5000 (multiplicity 4)
Ir  0.0776  0.6611  0.5000 (multiplicity 8)


The calculation returns the following total magnetic moment values, one per record and in order: 0.000 0.000 0.000 0.000 0.000 0.000 0.000 0.000 μB/cell.
The calculation returns the following Fermi-level density of states values, one per record and in order: 9.46 2.23 5.83 7.90 25.10 46.47 14.77 8.51 states/eV per cell.